No. 1
PBE Y4Er3Tm4, relaxed; SG = No. 2; excess energy over the best structure of this formula in the dataset = 41 meV/atom
1.0
3.492 0.000 0.000
0.000 5.551 0.000
1.742 2.761 17.622
Y Er Tm
4 3 4
direct
0.090 0.090 0.320
0.233 0.733 0.034
0.767 0.267 0.966
0.910 0.910 0.680
0.364 0.364 0.773
0.500 0.000 0.500
0.636 0.636 0.227
0.045 0.545 0.409
0.180 0.180 0.140
0.820 0.820 0.860
0.955 0.455 0.591

---

No. 2
PBE Sm6CdGa2, relaxed; SG = No. 71; excess energy over the best structure of this formula in the dataset = 0 meV/atom
1.0
-4.962 4.970 5.337
4.962 -4.970 5.337
4.962 4.970 -5.337
Sm Cd Ga
12 2 4
direct
0.029 0.822 0.207
0.243 0.541 0.298
0.243 0.945 0.702
0.276 0.320 0.597
0.276 0.680 0.956
0.384 0.178 0.207
0.616 0.822 0.793
0.724 0.320 0.044
0.724 0.680 0.403
0.757 0.055 0.298
0.757 0.459 0.702
0.971 0.178 0.793
0.000 0.500 0.500
0.500 0.000 0.500
0.000 0.143 0.143
0.000 0.857 0.857
0.379 0.379 0.000
0.621 0.621 0.000

---

No. 3
PBE Co2BiAs, relaxed; final energy = -21.145 eV/f.u.; SG = No. 225
1.0
0.000 3.195 3.195
3.195 0.000 3.195
3.195 3.195 0.000
Co Bi As
2 1 1
direct
0.250 0.250 0.250
0.750 0.750 0.750
0.000 0.000 0.000
0.500 0.500 0.500

---

No. 4
PBE TlBRh3, relaxed; final energy = -31.595 eV/f.u.; SG = No. 15
1.0
5.727 -4.576 0.000
5.727 4.576 0.000
-0.005 0.000 5.652
Tl B Rh
4 4 12
direct
0.190 0.810 0.750
0.309 0.691 0.250
0.691 0.309 0.750
0.810 0.190 0.250
0.169 0.332 0.595
0.332 0.169 0.095
0.668 0.831 0.905
0.831 0.668 0.405
0.053 0.447 0.265
0.076 0.185 0.884
0.185 0.076 0.384
0.316 0.425 0.884
0.425 0.316 0.384
0.447 0.053 0.765
0.553 0.947 0.235
0.575 0.684 0.616
0.684 0.575 0.116
0.815 0.924 0.616
0.924 0.815 0.116
0.947 0.553 0.735

---

No. 5
PBE Hf2HCl, relaxed; SG = No. 122; excess energy over the best structure of this formula in the dataset = 0 meV/atom
1.0
-2.650 2.650 4.925
2.650 -2.650 4.925
2.650 2.650 -4.925
Hf H Cl
4 2 2
direct
0.051 0.625 0.926
0.375 0.301 0.426
0.699 0.125 0.074
0.875 0.949 0.574
0.000 0.000 0.000
0.750 0.250 0.500
0.250 0.750 0.500
0.500 0.500 0.000

---

No. 6
PBE Ca2BiPb, relaxed; SG = No. 122; excess energy over the best structure of this formula in the dataset = 243 meV/atom
1.0
-4.346 4.346 3.571
4.346 -4.346 3.571
4.346 4.346 -3.571
Ca Bi Pb
4 2 2
direct
0.117 0.625 0.992
0.375 0.367 0.492
0.633 0.125 0.008
0.875 0.883 0.508
0.000 0.000 0.000
0.750 0.250 0.500
0.250 0.750 0.500
0.500 0.500 0.000

---

No. 7
PBE FeSnS2, relaxed; SG = No. 122; E_form (uncorrected) = -0.16 eV/atom
1.0
-3.014 3.014 4.696
3.014 -3.014 4.696
3.014 3.014 -4.696
Fe Sn S
2 2 4
direct
0.000 0.000 0.000
0.750 0.250 0.500
0.250 0.750 0.500
0.500 0.500 0.000
0.031 0.625 0.906
0.375 0.281 0.406
0.719 0.125 0.094
0.875 0.969 0.594

---

No. 8
PBE CrCdIn2, relaxed; final energy = -14.942 eV/f.u.; SG = No. 99
1.0
3.163 0.000 0.000
0.000 3.163 0.000
0.000 0.000 8.923
Cr Cd In
1 1 2
direct
0.000 0.000 0.000
0.500 0.500 0.784
0.000 0.000 0.507
0.500 0.500 0.217